[1]
The following is a DFT calculation (PBE) of an optimized crystal structure of LuCoAgAs.

Values from the calculation:
Crystal system: cubic
Raw total energy: -77.9 eV per cell

```
data_LuCoAgAs
_chemical_formula_sum 'Lu4 Co4 Ag4 As4'
_cell_length_a 6.488
_cell_length_b 6.488
_cell_length_c 6.488
_cell_angle_alpha 90.00
_cell_angle_beta 90.00
_cell_angle_gamma 90.00
_space_group_name_H-M_alt 'F -4 3 m'
_space_group_IT_number 216
_space_group_name_Hall 'F -4 2 3'
loop_
_atom_site_label
_atom_site_type_symbol
_atom_site_fract_x
_atom_site_fract_y
_atom_site_fract_z
Lu1 Lu 0.000 0.000 0.000
Co1 Co 0.250 0.250 0.750
Ag1 Ag 0.250 0.250 0.250
As1 As 0.000 0.000 0.500
```

***

[2]
The following is a DFT calculation (PBE) of an optimized crystal structure of MgCoAgAs.

Values from the calculation:
Crystal system: cubic
Raw total energy: -62.9 eV per cell

```
data_MgCoAgAs
_chemical_formula_sum 'Mg4 Co4 Ag4 As4'
_cell_length_a 6.311
_cell_length_b 6.311
_cell_length_c 6.311
_cell_angle_alpha 90.00
_cell_angle_beta 90.00
_cell_angle_gamma 90.00
_space_group_name_H-M_alt 'F -4 3 m'
_space_group_IT_number 216
_space_group_name_Hall 'F -4 2 3'
loop_
_atom_site_label
_atom_site_type_symbol
_atom_site_fract_x
_atom_site_fract_y
_atom_site_fract_z
Mg1 Mg 0.000 0.000 0.000
Co1 Co 0.000 0.000 0.500
Ag1 Ag 0.250 0.250 0.750
As1 As 0.250 0.250 0.250
```

***

[3]
The following is a DFT calculation (PBE) of an optimized crystal structure of CoAgAsOs.

Values from the calculation:
Crystal system: cubic
Raw total energy: -94.2 eV per cell

```
data_CoAgAsOs
_chemical_formula_sum 'Co4 Ag4 As4 Os4'
_cell_length_a 6.117
_cell_length_b 6.117
_cell_length_c 6.117
_cell_angle_alpha 90.00
_cell_angle_beta 90.00
_cell_angle_gamma 90.00
_space_group_name_H-M_alt 'F -4 3 m'
_space_group_IT_number 216
_space_group_name_Hall 'F -4 2 3'
loop_
_atom_site_label
_atom_site_type_symbol
_atom_site_fract_x
_atom_site_fract_y
_atom_site_fract_z
Co1 Co 0.000 0.000 0.000
Ag1 Ag 0.250 0.250 0.250
As1 As 0.250 0.250 0.750
Os1 Os 0.000 0.000 0.500
```

***

[4]
The following is a DFT calculation (PBE) of an optimized crystal structure of CoAgAsPt.

Values from the calculation:
Crystal system: cubic
Raw total energy: -79.7 eV per cell

```
data_CoAgAsPt
_chemical_formula_sum 'Co4 Ag4 As4 Pt4'
_cell_length_a 6.282
_cell_length_b 6.282
_cell_length_c 6.282
_cell_angle_alpha 90.00
_cell_angle_beta 90.00
_cell_angle_gamma 90.00
_space_group_name_H-M_alt 'F -4 3 m'
_space_group_IT_number 216
_space_group_name_Hall 'F -4 2 3'
loop_
_atom_site_label
_atom_site_type_symbol
_atom_site_fract_x
_atom_site_fract_y
_atom_site_fract_z
Co1 Co 0.000 0.000 0.000
Ag1 Ag 0.250 0.250 0.250
As1 As 0.250 0.250 0.750
Pt1 Pt 0.000 0.000 0.500
```

***

[5]
The following is a DFT calculation (PBE) of an optimized crystal structure of CoTcAgAs.

Values from the calculation:
Crystal system: cubic
Raw total energy: -93.7 eV per cell

```
data_CoTcAgAs
_chemical_formula_sum 'Co4 Tc4 Ag4 As4'
_cell_length_a 6.119
_cell_length_b 6.119
_cell_length_c 6.119
_cell_angle_alpha 90.00
_cell_angle_beta 90.00
_cell_angle_gamma 90.00
_space_group_name_H-M_alt 'F -4 3 m'
_space_group_IT_number 216
_space_group_name_Hall 'F -4 2 3'
loop_
_atom_site_label
_atom_site_type_symbol
_atom_site_fract_x
_atom_site_fract_y
_atom_site_fract_z
Co1 Co 0.000 0.000 0.000
Tc1 Tc 0.000 0.000 0.500
Ag1 Ag 0.250 0.250 0.250
As1 As 0.250 0.250 0.750
```

***

[6]
The following is a DFT calculation (PBE) of an optimized crystal structure of CsAgAs.

Values from the calculation:
Crystal system: cubic
Raw total energy: -28.4 eV per cell

```
data_CsAgAs
_chemical_formula_sum 'Cs4 Ag4 As4'
_cell_length_a 7.543
_cell_length_b 7.543
_cell_length_c 7.543
_cell_angle_alpha 90.00
_cell_angle_beta 90.00
_cell_angle_gamma 90.00
_space_group_name_H-M_alt 'F -4 3 m'
_space_group_IT_number 216
_space_group_name_Hall 'F -4 2 3'
loop_
_atom_site_label
_atom_site_type_symbol
_atom_site_fract_x
_atom_site_fract_y
_atom_site_fract_z
Cs1 Cs 0.000 0.000 0.000
Ag1 Ag 0.000 0.000 0.500
As1 As 0.250 0.250 0.750
```